## Sm2Er7Tm (PBE)

Data for crystalline Sm2Er7Tm at its relaxed geometry.

Cell: 3.4890 14.6279 14.6279 Å, 154.65 90.00 90.00°
Positions (direct):
Er: 0.5000 0.8517 0.6563
Er: 0.5000 0.3437 0.1483
Er: 0.5000 0.1483 0.3437
Er: 0.5000 0.6563 0.8517
Er: 0.0000 0.8156 0.1844
Er: 0.5000 0.5000 0.5000
Er: 0.0000 0.1844 0.8156
Tm: 0.0000 0.0000 0.0000
Sm: 0.5000 0.7086 0.2914
Sm: 0.5000 0.2914 0.7086

Summary:
space group: Cmmm (65)
offset from the most stable computed form: 0.136 eV per atom


## Na3LaCd (PBE)

Data for crystalline Na3LaCd at its relaxed geometry.

Cell: 5.4439 5.4439 5.4439 Å, 90.00 90.00 90.00°
Positions (direct):
La: 0.5000 0.5000 0.5000
Na: 0.0000 0.5000 0.0000
Na: 0.5000 0.0000 0.0000
Na: 0.0000 0.0000 0.5000
Cd: 0.0000 0.0000 0.0000

Summary:
space group: Pm-3m (221)
electronic total energy: -7.82 eV per cell


## V4Ni4Pd3 (PBE)

Data for crystalline V4Ni4Pd3 at its relaxed geometry.

Cell: 2.7000 7.6847 8.1899 Å, 117.98 99.49 90.00°
Positions (direct):
Ni: 0.2479 0.7479 0.4957
Ni: 0.5000 0.2170 0.0000
Ni: 0.5000 0.7830 0.0000
Ni: 0.7521 0.2521 0.5043
V: 0.3382 0.1334 0.6763
V: 0.3382 0.5429 0.6763
V: 0.6619 0.4571 0.3237
V: 0.6619 0.8666 0.3237
Pd: 0.8999 0.8999 0.7999
Pd: 0.1001 0.1001 0.2001
Pd: 0.0000 0.5000 0.0000

Summary:
space group: Immm (71)
electronic total energy: -74.84 eV per cell


## InSb2Te (PBE)

Data for crystalline InSb2Te at its relaxed geometry.

Cell: 5.4020 5.4020 5.4020 Å, 60.00 60.00 60.00°
Positions (direct):
Sb: 0.7500 0.7500 0.7500
Sb: 0.2500 0.2500 0.2500
In: 0.0000 0.0000 0.0000
Te: 0.5000 0.5000 0.5000

Summary:
space group: Fm-3m (225)
formation energy without anion corrections: 213.1 meV/atom
offset from the most stable computed form: 0.299 eV per atom


## CsTl10Sn2 (PBE)

Data for crystalline CsTl10Sn2 at its relaxed geometry.

Cell: 6.4915 9.0224 8.5467 Å, 82.15 67.68 68.92°
Positions (direct):
Tl: 0.9957 0.3612 0.6473
Tl: 0.4937 0.2265 0.7861
Tl: 0.5063 0.7735 0.2139
Tl: 0.7202 0.7735 0.7861
Tl: 0.3569 0.6388 0.6473
Tl: 0.2798 0.2265 0.2139
Tl: 0.6431 0.3612 0.3527
Tl: 0.5000 0.0000 0.5000
Tl: 0.0000 0.0000 0.5000
Tl: 0.0043 0.6388 0.3527
Cs: 0.0000 0.0000 0.0000
Sn: 0.5000 0.5000 0.0000
Sn: 0.0000 0.5000 0.0000

Summary:
space group: Fmmm (69)
electronic total energy: -32.83 eV per cell


## PmGaI (PBE)

Data for crystalline PmGaI at its relaxed geometry.

Cell: 4.1779 3.9581 19.2944 Å, 118.71 130.40 89.96°
Positions (direct):
I: 0.2761 0.8634 0.8425
I: 0.7239 0.1366 0.1575
Pm: 0.7201 0.0577 0.3230
Pm: 0.2799 0.9423 0.6770
Ga: 0.6077 0.9681 0.4524
Ga: 0.3923 0.0319 0.5476

Summary:
space group: P-1 (2)
formation energy without anion corrections: -829.3 meV/atom
offset from the most stable computed form: 0.249 eV per atom


## NaHgPt (PBE)

Data for crystalline NaHgPt at its relaxed geometry.

Cell: 6.0439 10.1823 6.8847 Å, 137.69 90.00 90.00°
Positions (direct):
Pt: 0.7555 0.5000 0.0000
Pt: 0.2445 0.5000 0.0000
Pt: 0.2555 0.0000 0.0000
Pt: 0.7445 0.0000 0.0000
Hg: 0.0000 0.2474 0.4949
Hg: 0.0000 0.7526 0.5051
Hg: 0.5000 0.7474 0.4949
Hg: 0.5000 0.2526 0.5051
Na: 0.0000 0.7517 0.0000
Na: 0.0000 0.2483 0.0000
Na: 0.5000 0.7483 0.0000
Na: 0.5000 0.2517 0.0000

Summary:
space group: Fmmm (69)
offset from the most stable computed form: 0.000 eV per atom


## NdDyEr14 (PBE)

Data for crystalline NdDyEr14 at its relaxed geometry.

Cell: 7.0687 7.0687 11.3677 Å, 90.00 90.00 119.93°
Positions (direct):
Er: 0.3751 0.6249 0.7505
Er: 0.8752 0.6256 0.7526
Er: 0.3744 0.1248 0.2474
Er: 0.8754 0.1246 0.7521
Er: 0.3744 0.1248 0.7526
Er: 0.7080 0.7918 0.5000
Er: 0.2082 0.2920 0.5000
Er: 0.0422 0.4582 0.0000
Er: 0.8754 0.1246 0.2479
Er: 0.8752 0.6256 0.2474
Er: 0.5418 0.9578 0.0000
Er: 0.3751 0.6249 0.2495
Er: 0.5417 0.4583 0.0000
Er: 0.0419 0.9581 0.0000
Dy: 0.2080 0.7920 0.5000
Nd: 0.7080 0.2920 0.5000

Summary:
space group: Amm2 (38)
electronic total energy: -73.12 eV per cell


## Li2SnSb2 (PBE)

Data for crystalline Li2SnSb2 at its relaxed geometry.

Cell: 4.5730 4.5730 6.6979 Å, 70.04 70.04 90.00°
Positions (direct):
Sb: 0.3809 0.3809 0.2381
Sb: 0.6191 0.6191 0.7619
Li: 0.2500 0.7500 0.5000
Li: 0.7500 0.2500 0.5000
Sn: 0.0000 0.0000 0.0000

Summary:
space group: I4/mmm (139)
formation energy without anion corrections: -194.4 meV/atom
offset from the most stable computed form: 0.128 eV per atom


## DyBeGa (PBE)

Data for crystalline DyBeGa at its relaxed geometry.

Cell: 3.6418 4.1732 4.1732 Å, 120.00 90.00 90.00°
Positions (direct):
Ga: 0.1666 0.3333 0.6667
Be: 0.1667 0.0000 0.0000
Dy: 0.6667 0.6667 0.3333

Summary:
space group: P-6m2 (187)
offset from the most stable computed form: 0.010 eV per atom


## HoHfIr (PBE)

Data for crystalline HoHfIr at its relaxed geometry.

Cell: 4.6487 4.6487 4.6487 Å, 60.00 60.00 60.00°
Positions (direct):
Ho: 0.5000 0.5000 0.5000
Hf: 0.0000 0.0000 0.0000
Ir: 0.2500 0.2500 0.2500

Summary:
space group: F-43m (216)
offset from the most stable computed form: 0.159 eV per atom


## Ac3La7Pm2 (PBE)

Data for crystalline Ac3La7Pm2 at its relaxed geometry.

Cell: 3.7823 6.2030 19.8207 Å, 92.88 90.00 90.00°
Positions (direct):
Ac: 0.0000 0.7734 0.6371
Ac: 0.0000 0.2266 0.3629
Ac: 0.5000 0.5000 0.0000
La: 0.5000 0.2542 0.5366
La: 0.0000 0.7026 0.1475
La: 0.0000 0.0000 0.0000
La: 0.0000 0.2974 0.8525
La: 0.5000 0.8001 0.8251
La: 0.5000 0.7458 0.4634
La: 0.5000 0.1999 0.1749
Pm: 0.5000 0.7180 0.2940
Pm: 0.5000 0.2820 0.7060

Summary:
space group: P2/m (10)
electronic total energy: -55.48 eV per cell